First-principles (PBE) data for a geometry-optimized K2UAg2S4 structure, as listed in Alexandria via LeMat-Bulk.

```
9
Lattice="-0.609 1.535 3.763 -3.378 -6.600 2.146 7.698 -1.011 -0.586" Properties=species:S:1:pos:R:3 pbc="T T T"
K 0.099 -3.810 1.570
S -2.777 -4.287 3.543
S 2.180 -1.377 0.914
Ag -0.966 -5.789 4.449
K 3.612 -2.266 3.753
U 0.000 0.000 0.000
S 6.488 -1.789 1.779
Ag 4.677 -0.287 0.874
S 1.531 -4.699 4.409
```

D(E_F)	0.48	states/eV/atom
crystal system	monoclinic
uncorrected formation energy	-977	meV/atom

***

First-principles (PBE) data for a geometry-optimized LiPaCdSn structure, as listed in Alexandria via LeMat-Bulk.

```
4
Lattice="-2.553 -4.200 1.499 1.175 -2.266 4.460 -3.273 0.257 3.953" Properties=species:S:1:pos:R:3 pbc="T T T"
Sn -3.488 -4.656 7.434
Li 0.000 0.000 0.000
Pa -2.325 -3.104 4.956
Cd -1.163 -1.552 2.478
```

calculated formation energy	-0.6	kcal/mol of atoms
D(E_F)	1.21	states/eV/atom
crystal system	cubic